A relaxed structure of Mn2ReNi. Source: Alexandria via LeMat-Bulk, functional PBE.

Cell lengths 2.6009, 2.6009, 24.9261 Å; angles 90.00, 90.00, 120.00 degrees
With the nearest neighbours (Å) after each atom.
Fractional coordinates of all 12 atoms:
Mn1 0.0000 0.0000 0.0000  9 Mn 2.44-2.60, 3 Ni 2.53
Mn2 0.0000 0.0000 0.2564  9 Mn 2.44-2.60, 3 Re 2.65
Mn3 0.3333 0.6667 0.6667  9 Mn 2.44-2.60, 3 Ni 2.53
Mn4 0.3333 0.6667 0.9231  9 Mn 2.44-2.60, 3 Re 2.65
Mn5 0.6667 0.3333 0.3333  9 Mn 2.44-2.60, 3 Ni 2.53
Mn6 0.6667 0.3333 0.5898  9 Mn 2.44-2.60, 3 Re 2.65
Re1 0.0000 0.0000 0.5024  6 Re 2.60, 3 Ni 2.64, 3 Mn 2.65
Re2 0.3333 0.6667 0.1690  6 Re 2.60, 3 Ni 2.64, 3 Mn 2.65
Re3 0.6667 0.3333 0.8357  6 Re 2.60, 3 Ni 2.64, 3 Mn 2.65
Ni1 0.0000 0.0000 0.7484  3 Mn 2.53, 6 Ni 2.60, 3 Re 2.64
Ni2 0.3333 0.6667 0.4150  3 Mn 2.53, 6 Ni 2.60, 3 Re 2.64
Ni3 0.6667 0.3333 0.0817  3 Mn 2.53, 6 Ni 2.60, 3 Re 2.64

Summary:
* magnetic moment: 0.2 μB/f.u.
* density: 12.10 g cm⁻³
* calculated formation energy: 0.67 eV per formula unit
* VASP energy: -8.98 eV per atom


A relaxed structure of PmAlCuIr. Source: Alexandria via LeMat-Bulk, functional PBE.

Cell lengths 6.6115, 6.6115, 6.6115 Å; angles 90.00, 90.00, 90.00 degrees
With the nearest neighbours (Å) after each atom.
Fractional coordinates of all 16 atoms:
Pm1 0.0000 0.0000 0.0000  4 Ir 2.86, 4 Cu 2.86
Pm2 0.0000 0.5000 0.5000  4 Ir 2.86, 4 Cu 2.86
Pm3 0.5000 0.0000 0.5000  4 Ir 2.86, 4 Cu 2.86
Pm4 0.5000 0.5000 0.0000  4 Ir 2.86, 4 Cu 2.86
Al1 0.0000 0.0000 0.5000  4 Cu 2.86, 4 Ir 2.86
Al2 0.0000 0.5000 0.0000  4 Cu 2.86, 4 Ir 2.86
Al3 0.5000 0.0000 0.0000  4 Cu 2.86, 4 Ir 2.86
Al4 0.5000 0.5000 0.5000  4 Cu 2.86, 4 Ir 2.86
Cu1 0.2500 0.2500 0.7500  4 Pm 2.86, 4 Al 2.86
Cu2 0.2500 0.7500 0.2500  4 Pm 2.86, 4 Al 2.86
Cu3 0.7500 0.2500 0.2500  4 Pm 2.86, 4 Al 2.86
Cu4 0.7500 0.7500 0.7500  4 Al 2.86, 4 Pm 2.86
Ir1 0.2500 0.2500 0.2500  4 Pm 2.86, 4 Al 2.86
Ir2 0.2500 0.7500 0.7500  4 Pm 2.86, 4 Al 2.86
Ir3 0.7500 0.2500 0.7500  4 Pm 2.86, 4 Al 2.86
Ir4 0.7500 0.7500 0.2500  4 Pm 2.86, 4 Al 2.86

Summary:
* magnetic moment: 0.0 μB/f.u.
* density: 9.83 g cm⁻³
* calculated formation energy: -1.46 eV per formula unit
* VASP energy: -5.73 eV per atom


A relaxed structure of BaLa2Co. Source: Alexandria via LeMat-Bulk, functional PBE.

Cell lengths 3.9481, 4.2363, 17.4804 Å; angles 90.00, 90.00, 90.00 degrees
With the nearest neighbours (Å) after each atom.
Fractional coordinates of all 8 atoms:
Ba1 0.0000 0.0000 0.0000  2 Co 3.80, 2 La 3.83, 4 Ba 3.95-4.24
Ba2 0.0000 0.5000 0.5000  2 Co 3.80, 2 La 3.83, 4 Ba 3.95-4.24
La1 0.0000 0.0000 0.3175  4 Co 2.90
La2 0.0000 0.5000 0.8175  4 Co 2.90
La3 0.5000 0.0000 0.6788  1 Co 2.37
La4 0.5000 0.5000 0.1788  1 Co 2.37
Co1 0.5000 0.0000 0.8142  1 La 2.37
Co2 0.5000 0.5000 0.3142  1 La 2.37

Summary:
* magnetic moment: 0.0 μB/f.u.
* density: 5.39 g cm⁻³
* calculated formation energy: 0.21 eV per formula unit
* VASP energy: -4.67 eV per atom


Repeat the second record exactly.
A relaxed structure of PmAlCuIr. Source: Alexandria via LeMat-Bulk, functional PBE.

Cell lengths 6.6115, 6.6115, 6.6115 Å; angles 90.00, 90.00, 90.00 degrees
With the nearest neighbours (Å) after each atom.
Fractional coordinates of all 16 atoms:
Pm1 0.0000 0.0000 0.0000  4 Ir 2.86, 4 Cu 2.86
Pm2 0.0000 0.5000 0.5000  4 Ir 2.86, 4 Cu 2.86
Pm3 0.5000 0.0000 0.5000  4 Ir 2.86, 4 Cu 2.86
Pm4 0.5000 0.5000 0.0000  4 Ir 2.86, 4 Cu 2.86
Al1 0.0000 0.0000 0.5000  4 Cu 2.86, 4 Ir 2.86
Al2 0.0000 0.5000 0.0000  4 Cu 2.86, 4 Ir 2.86
Al3 0.5000 0.0000 0.0000  4 Cu 2.86, 4 Ir 2.86
Al4 0.5000 0.5000 0.5000  4 Cu 2.86, 4 Ir 2.86
Cu1 0.2500 0.2500 0.7500  4 Pm 2.86, 4 Al 2.86
Cu2 0.2500 0.7500 0.2500  4 Pm 2.86, 4 Al 2.86
Cu3 0.7500 0.2500 0.2500  4 Pm 2.86, 4 Al 2.86
Cu4 0.7500 0.7500 0.7500  4 Al 2.86, 4 Pm 2.86
Ir1 0.2500 0.2500 0.2500  4 Pm 2.86, 4 Al 2.86
Ir2 0.2500 0.7500 0.7500  4 Pm 2.86, 4 Al 2.86
Ir3 0.7500 0.2500 0.7500  4 Pm 2.86, 4 Al 2.86
Ir4 0.7500 0.7500 0.2500  4 Pm 2.86, 4 Al 2.86

Summary:
* magnetic moment: 0.0 μB/f.u.
* density: 9.83 g cm⁻³
* calculated formation energy: -1.46 eV per formula unit
* VASP energy: -5.73 eV per atom


> Which of these has the highest VASP energy?

BaLa2Co


> Among the records above, which one has the highest calculated formation energy?

Mn2ReNi